Here is YGeP2S after structural relaxation from Alexandria via LeMat-Bulk. Energies are from PBE.

The structure in POSCAR format:
```
YGeP2S
1.0
4.6250 0.0000 0.0000
0.0000 4.6250 0.0000
0.0000 0.0000 4.7890
Y Ge P S
1 1 2 1
Cartesian
0.0000 0.0000 0.0000 Y
2.3125 2.3125 0.0000 Ge
0.0000 2.3125 2.3945 P
2.3125 0.0000 2.3945 P
2.3125 2.3125 2.3945 S
```

The calculation puts the offset from the most stable computed form at 1.030 eV/f.u. As for the magnetization: 0.00 Bohr magnetons per cell. The total energy comes out at -5.06 eV per atom.